{"formula": "DyPaC2", "functional": "PBE", "state": "optimized geometry", "lattice": [[-0.1235, -1.2556, -3.4074], [3.0584, -1.0336, -1.6673], [0.2497, -6.1841, 0.3324]], "species": ["C", "C", "Dy", "Pa"], "fractional_positions": [[0.2578, 0.2578, 0.2267], [0.7422, 0.7422, 0.7733], [0.5000, 0.5000, 0.5000], [0.0000, 0.0000, 0.0000]], "e_tot_ev_per_fu": -34.15, "crystal_system": "trigonal", "formation_enthalpy_0k_ev_per_atom": -0.40}